This record from Alexandria describes TiCu2Br6 after structural relaxation. The functional is PBE-GGA. Values from VASP.

```
&SYSTEM
  ibrav = 0, nat = 18, ntyp = 3
/
ATOMIC_SPECIES
Br 79.90 Br.upf
Cu 63.55 Cu.upf
Ti 47.87 Ti.upf
CELL_PARAMETERS angstrom
-1.1298 -3.4031 5.6940
8.8421 -2.2205 1.5266
2.6806 6.7795 5.6830
ATOMIC_POSITIONS crystal
Br 0.3592 0.7238 0.5211
Br 0.6408 0.2762 0.4789
Cu 0.7065 0.6706 0.5262
Br 0.0923 0.8330 0.9676
Br 0.9077 0.1670 0.0324
Cu 0.2935 0.3294 0.4738
Br 0.8500 0.8731 0.3474
Ti 0.2500 0.0968 0.9032
Br 0.1500 0.1269 0.6526
Cu 0.2065 0.5262 0.6706
Br 0.6500 0.6526 0.1269
Br 0.1408 0.4789 0.2762
Br 0.8592 0.5211 0.7238
Ti 0.7500 0.9032 0.0968
Cu 0.7935 0.4738 0.3294
Br 0.5923 0.9676 0.8330
Br 0.3500 0.3474 0.8731
Br 0.4077 0.0324 0.1670
```

Computed properties:
* space group: C2/c (15)
* energy above the most stable polymorph in this dataset: 14 meV/atom
* uncorrected formation energy: -0.720 eV/atom



This record from Alexandria describes Ti2CuBr after structural relaxation. The functional is PBE-GGA. Values from VASP.

```
&SYSTEM
  ibrav = 0, nat = 4, ntyp = 3
/
ATOMIC_SPECIES
Ti 47.87 Ti.upf
Cu 63.55 Cu.upf
Br 79.90 Br.upf
CELL_PARAMETERS angstrom
0.0000 3.1839 3.1839
3.1839 0.0000 3.1839
3.1839 3.1839 0.0000
ATOMIC_POSITIONS crystal
Ti 0.7500 0.7500 0.7500
Cu 0.0000 0.0000 0.0000
Br 0.5000 0.5000 0.5000
Ti 0.2500 0.2500 0.2500
```

Computed properties:
* space group: Fm-3m (225)
* energy above the most stable polymorph in this dataset: 0 meV/atom
* uncorrected formation energy: 0.188 eV/atom



This record from Alexandria describes Ti2Cu2Br after structural relaxation. The functional is PBE-GGA. Values from VASP.

```
&SYSTEM
  ibrav = 0, nat = 10, ntyp = 3
/
ATOMIC_SPECIES
Cu 63.55 Cu.upf
Ti 47.87 Ti.upf
Br 79.90 Br.upf
CELL_PARAMETERS angstrom
7.2994 0.0000 0.0000
0.0000 7.2994 0.0000
0.0000 0.0000 3.1200
ATOMIC_POSITIONS crystal
Cu 0.6213 0.1213 0.0000
Ti 0.3322 0.1678 0.5000
Ti 0.8322 0.3322 0.5000
Cu 0.3787 0.8787 0.0000
Ti 0.1678 0.6678 0.5000
Ti 0.6678 0.8322 0.5000
Br 0.0000 0.0000 0.0000
Br 0.5000 0.5000 0.0000
Cu 0.8787 0.6213 0.0000
Cu 0.1213 0.3787 0.0000
```

Computed properties:
* space group: P4/mbm (127)
* energy above the most stable polymorph in this dataset: 0 meV/atom
* uncorrected formation energy: 0.240 eV/atom



This record from Alexandria describes YTi2CuBr after structural relaxation. The functional is PBE-GGA. Values from VASP.

```
&SYSTEM
  ibrav = 0, nat = 5, ntyp = 4
/
ATOMIC_SPECIES
Cu 63.55 Cu.upf
Br 79.90 Br.upf
Ti 47.87 Ti.upf
Y 88.91 Y.upf
CELL_PARAMETERS angstrom
4.7428 0.0000 0.0000
0.0000 5.4312 0.0000
0.0000 0.0000 4.7428
ATOMIC_POSITIONS crystal
Cu 0.0000 0.0000 0.0000
Br 0.5000 0.5000 0.5000
Ti 0.5000 0.0000 0.0000
Ti 0.0000 0.0000 0.5000
Y 0.0000 0.5000 0.0000
```

Computed properties:
* space group: P4/mmm (123)
* uncorrected formation energy: 0.358 eV/atom



This record from Alexandria describes Tl2CuBr after structural relaxation. The functional is PBE-GGA. Values from VASP.

```
&SYSTEM
  ibrav = 0, nat = 4, ntyp = 3
/
ATOMIC_SPECIES
Cu 63.55 Cu.upf
Tl 204.38 Tl.upf
Br 79.90 Br.upf
CELL_PARAMETERS angstrom
-2.8479 4.1377 -2.3079
1.6566 -1.6471 -4.9973
-2.9159 -2.1508 -0.2578
ATOMIC_POSITIONS crystal
Cu 0.0000 0.5000 0.5000
Tl 0.5000 0.5000 0.0000
Tl 0.0000 0.0000 0.0000
Br 0.5000 0.0000 0.5000
```

Computed properties:
* space group: Pmmm (47)
* energy above the most stable polymorph in this dataset: 80 meV/atom
* uncorrected formation energy: -0.016 eV/atom



This record from Alexandria describes Tl2CuBr after structural relaxation. The functional is PBE-GGA. Values from VASP.

```
&SYSTEM
  ibrav = 0, nat = 4, ntyp = 3
/
ATOMIC_SPECIES
Tl 204.38 Tl.upf
Br 79.90 Br.upf
Cu 63.55 Cu.upf
CELL_PARAMETERS angstrom
7.7698 -0.0472 -0.5555
6.8877 3.5959 -0.5555
0.3251 0.0787 4.1949
ATOMIC_POSITIONS crystal
Tl 0.7479 0.7479 0.6294
Br 0.5449 0.5449 0.6191
Tl 0.9386 0.9386 0.1224
Cu 0.2686 0.2686 0.1292
```

Computed properties:
* space group: Cm (8)
* energy above the most stable polymorph in this dataset: 23 meV/atom
* uncorrected formation energy: -0.072 eV/atom



This record from Alexandria describes Tl3CuBr after structural relaxation. The functional is PBE-GGA. Values from VASP.

```
&SYSTEM
  ibrav = 0, nat = 5, ntyp = 3
/
ATOMIC_SPECIES
Cu 63.55 Cu.upf
Tl 204.38 Tl.upf
Br 79.90 Br.upf
CELL_PARAMETERS angstrom
-1.1530 3.2581 4.0605
-0.6115 -4.2149 3.2083
5.1700 0.2281 1.2850
ATOMIC_POSITIONS crystal
Cu 0.0000 0.0000 0.0000
Tl 0.0000 0.0000 0.5000
Tl 0.0000 0.5000 0.0000
Br 0.5000 0.5000 0.5000
Tl 0.5000 0.0000 0.0000
```

Computed properties:
* space group: Pm-3m (221)
* energy above the most stable polymorph in this dataset: 0 meV/atom
* uncorrected formation energy: -0.150 eV/atom



This record from Alexandria describes Tl3CuBr5 after structural relaxation. The functional is PBE-GGA. Values from VASP.

```
&SYSTEM
  ibrav = 0, nat = 18, ntyp = 3
/
ATOMIC_SPECIES
Cu 63.55 Cu.upf
Tl 204.38 Tl.upf
Br 79.90 Br.upf
CELL_PARAMETERS angstrom
0.6282 3.8933 -7.8853
8.1870 2.6275 1.9496
-1.6635 -9.6370 0.0381
ATOMIC_POSITIONS crystal
Cu 0.2500 0.7500 0.5000
Tl 0.2500 0.2500 0.5000
Tl 0.7500 0.7500 0.5000
Cu 0.7500 0.2500 0.5000
Tl 0.1637 0.3363 0.0000
Br 0.7020 0.2020 0.7028
Br 0.9992 0.4992 0.2972
Br 0.2980 0.7980 0.2972
Br 0.7980 0.9992 0.2972
Br 0.2020 0.0008 0.7028
Br 0.5008 0.7020 0.7028
Tl 0.8363 0.6637 0.0000
Br 0.0008 0.5008 0.7028
Br 0.4992 0.2980 0.2972
Br 0.5000 0.5000 0.0000
Tl 0.6637 0.1637 0.0000
Tl 0.3363 0.8363 0.0000
Br 0.0000 0.0000 0.0000
```

Computed properties:
* space group: I4/mcm (140)
* uncorrected formation energy: -0.642 eV/atom



This record from Alexandria describes Tl2CuBr after structural relaxation. The functional is PBE-GGA. Values from VASP.

```
&SYSTEM
  ibrav = 0, nat = 4, ntyp = 3
/
ATOMIC_SPECIES
Cu 63.55 Cu.upf
Tl 204.38 Tl.upf
Br 79.90 Br.upf
CELL_PARAMETERS angstrom
-3.0287 4.2362 4.1922
-6.0810 2.5935 -0.9943
3.2793 -5.8251 -0.0849
ATOMIC_POSITIONS crystal
Cu 0.7500 0.2500 0.5000
Tl 0.0000 0.0000 0.0000
Tl 0.2500 0.7500 0.5000
Br 0.5000 0.5000 0.0000
```

Computed properties:
* space group: I-4m2 (119)
* energy above the most stable polymorph in this dataset: 134 meV/atom
* uncorrected formation energy: 0.038 eV/atom



This record from Alexandria describes TlCu2Br6 after structural relaxation. The functional is PBE-GGA. Values from VASP.

```
&SYSTEM
  ibrav = 0, nat = 9, ntyp = 3
/
ATOMIC_SPECIES
Br 79.90 Br.upf
Tl 204.38 Tl.upf
Cu 63.55 Cu.upf
CELL_PARAMETERS angstrom
3.9659 0.0000 0.0000
-1.9829 7.7036 -1.0022
0.0000 -0.7194 9.8294
ATOMIC_POSITIONS crystal
Br 0.0453 0.0906 0.7917
Br 0.9547 0.9094 0.2083
Br 0.2143 0.4285 0.1443
Br 0.6266 0.2532 0.4824
Br 0.7857 0.5715 0.8557
Tl 0.0000 0.0000 0.5000
Cu 0.1979 0.3958 0.8828
Cu 0.8021 0.6042 0.1172
Br 0.3734 0.7468 0.5176
```

Computed properties:
* space group: C2/m (12)
* energy above the most stable polymorph in this dataset: 11 meV/atom
* uncorrected formation energy: -0.358 eV/atom



This record from Alexandria describes Tl2CuBr after structural relaxation. The functional is PBE-GGA. Values from VASP.

```
&SYSTEM
  ibrav = 0, nat = 4, ntyp = 3
/
ATOMIC_SPECIES
Tl 204.38 Tl.upf
Cu 63.55 Cu.upf
Br 79.90 Br.upf
CELL_PARAMETERS angstrom
3.7151 0.1349 0.0000
-0.1156 3.7158 0.0000
0.0000 0.0000 7.6022
ATOMIC_POSITIONS crystal
Tl 0.0000 0.0000 0.9633
Tl 0.0000 0.0000 0.5367
Cu 0.5000 0.5000 0.7500
Br 0.5000 0.5000 0.2500
```

Computed properties:
* space group: Cmmm (65)
* energy above the most stable polymorph in this dataset: 55 meV/atom
* uncorrected formation energy: -0.041 eV/atom



This record from Alexandria describes Tl3Cu2Br8 after structural relaxation. The functional is PBE-GGA. Values from VASP.

```
&SYSTEM
  ibrav = 0, nat = 13, ntyp = 3
/
ATOMIC_SPECIES
Br 79.90 Br.upf
Tl 204.38 Tl.upf
Cu 63.55 Cu.upf
CELL_PARAMETERS angstrom
7.1725 0.0000 0.0000
3.5863 6.2116 0.0000
3.5863 2.0705 9.7358
ATOMIC_POSITIONS crystal
Br 0.6814 0.6814 0.9559
Tl 0.2101 0.2101 0.3698
Cu 0.3993 0.3993 0.8020
Br 0.7377 0.2200 0.3046
Br 0.7377 0.7377 0.3046
Tl 0.0000 0.0000 0.0000
Br 0.2200 0.7377 0.3046
Cu 0.6007 0.6007 0.1980
Br 0.7800 0.2623 0.6954
Tl 0.7899 0.7899 0.6302
Br 0.2623 0.7800 0.6954
Br 0.3186 0.3186 0.0441
Br 0.2623 0.2623 0.6954
```

Computed properties:
* space group: R-3m (166)
* uncorrected formation energy: -0.458 eV/atom



This record from Alexandria describes TlCu4Br6 after structural relaxation. The functional is PBE-GGA. Values from VASP.

```
&SYSTEM
  ibrav = 0, nat = 11, ntyp = 3
/
ATOMIC_SPECIES
Cu 63.55 Cu.upf
Br 79.90 Br.upf
Tl 204.38 Tl.upf
CELL_PARAMETERS angstrom
6.1332 0.0000 -3.1317
-1.5991 5.9211 -3.1317
-0.1417 -0.1850 7.2942
ATOMIC_POSITIONS crystal
Cu 0.2392 0.9683 0.2075
Br 0.5000 0.0000 0.0000
Br 0.4019 0.4019 0.4430
Br 0.9588 0.5981 0.5570
Cu 0.0317 0.0317 0.7925
Br 0.0412 0.0412 0.4430
Br 0.5981 0.9588 0.5570
Cu 0.9683 0.2392 0.2075
Cu 0.7608 0.7608 0.7925
Br 0.0000 0.5000 0.0000
Tl 0.5000 0.5000 0.0000
```

Computed properties:
* space group: I-42m (121)
* uncorrected formation energy: -0.163 eV/atom



This record from Alexandria describes Tl2CuBr after structural relaxation. The functional is PBE-GGA. Values from VASP.

```
&SYSTEM
  ibrav = 0, nat = 4, ntyp = 3
/
ATOMIC_SPECIES
Tl 204.38 Tl.upf
Cu 63.55 Cu.upf
Br 79.90 Br.upf
CELL_PARAMETERS angstrom
5.4133 0.0000 0.0000
2.7067 4.6881 0.0000
2.7067 1.5627 4.4200
ATOMIC_POSITIONS crystal
Tl 0.2500 0.2500 0.2500
Cu 0.7500 0.7500 0.7500
Tl 0.0000 0.0000 0.0000
Br 0.5000 0.5000 0.5000
```

Computed properties:
* space group: F-43m (216)
* energy above the most stable polymorph in this dataset: 279 meV/atom
* uncorrected formation energy: 0.183 eV/atom



This record from Alexandria describes TlCu2Br2 after structural relaxation. The functional is PBE-GGA. Values from VASP.

```
&SYSTEM
  ibrav = 0, nat = 5, ntyp = 3
/
ATOMIC_SPECIES
Br 79.90 Br.upf
Cu 63.55 Cu.upf
Tl 204.38 Tl.upf
CELL_PARAMETERS angstrom
3.7264 0.0000 0.0000
0.0000 3.7264 0.0000
1.8632 1.8632 9.5688
ATOMIC_POSITIONS crystal
Br 0.3422 0.3422 0.3156
Br 0.6578 0.6578 0.6844
Cu 0.2500 0.7500 0.5000
Tl 0.0000 0.0000 0.0000
Cu 0.7500 0.2500 0.5000
```

Computed properties:
* space group: I4/mmm (139)
* energy above the most stable polymorph in this dataset: 0 meV/atom
* uncorrected formation energy: -0.071 eV/atom



This record from Alexandria describes Tl2CuBr after structural relaxation. The functional is PBE-GGA. Values from VASP.

```
&SYSTEM
  ibrav = 0, nat = 4, ntyp = 3
/
ATOMIC_SPECIES
Tl 204.38 Tl.upf
Br 79.90 Br.upf
Cu 63.55 Cu.upf
CELL_PARAMETERS angstrom
-1.9803 2.0253 -2.3119
-2.0009 -1.4865 2.6749
1.4163 7.0959 5.0029
ATOMIC_POSITIONS crystal
Tl 0.5000 0.5000 0.2474
Tl 0.0000 0.0000 0.9488
Br 0.0000 0.0000 0.5682
Cu 0.5000 0.5000 0.7357
```

Computed properties:
* space group: Cmm2 (35)
* energy above the most stable polymorph in this dataset: 73 meV/atom
* uncorrected formation energy: -0.022 eV/atom



This record from Alexandria describes Tl3Cu2Br7 after structural relaxation. The functional is PBE-GGA. Values from VASP.

```
&SYSTEM
  ibrav = 0, nat = 12, ntyp = 3
/
ATOMIC_SPECIES
Tl 204.38 Tl.upf
Br 79.90 Br.upf
Cu 63.55 Cu.upf
CELL_PARAMETERS angstrom
-2.6302 -1.8374 4.0271
4.4514 -0.2887 2.7756
-4.1303 12.3476 2.9361
ATOMIC_POSITIONS crystal
Tl 0.5000 0.3207 0.6413
Br 0.0000 0.4053 0.8105
Cu 0.0000 0.9014 0.8029
Br 0.5000 0.9050 0.8101
Br 0.5000 0.0950 0.1899
Br 0.0000 0.1934 0.3868
Br 0.0000 0.5947 0.1895
Tl 0.5000 0.5000 0.0000
Tl 0.5000 0.6793 0.3587
Br 0.0000 0.8066 0.6132
Cu 0.0000 0.0986 0.1971
Br 0.0000 0.0000 0.0000
```

Computed properties:
* space group: Cmmm (65)
* energy above the most stable polymorph in this dataset: 10 meV/atom
* uncorrected formation energy: -0.537 eV/atom



This record from Alexandria describes TlCu4Br after structural relaxation. The functional is PBE-GGA. Values from VASP.

```
&SYSTEM
  ibrav = 0, nat = 6, ntyp = 3
/
ATOMIC_SPECIES
Cu 63.55 Cu.upf
Tl 204.38 Tl.upf
Br 79.90 Br.upf
CELL_PARAMETERS angstrom
0.0000 3.7121 3.7121
3.7121 0.0000 3.7121
3.7121 3.7121 0.0000
ATOMIC_POSITIONS crystal
Cu 0.3749 0.3749 0.3749
Cu 0.3749 0.3749 0.8752
Tl 0.7500 0.7500 0.7500
Br 0.0000 0.0000 0.0000
Cu 0.3749 0.8752 0.3749
Cu 0.8752 0.3749 0.3749
```

Computed properties:
* space group: F-43m (216)
* uncorrected formation energy: 0.232 eV/atom



This record from Alexandria describes Tl4Cu3Br12 after structural relaxation. The functional is PBE-GGA. Values from VASP.

```
&SYSTEM
  ibrav = 0, nat = 19, ntyp = 3
/
ATOMIC_SPECIES
Br 79.90 Br.upf
Tl 204.38 Tl.upf
Cu 63.55 Cu.upf
CELL_PARAMETERS angstrom
9.7237 0.0000 0.0000
-3.2412 9.1676 0.0000
-3.2412 -4.5838 7.9393
ATOMIC_POSITIONS crystal
Br 0.3472 0.4982 0.1510
Tl 0.0000 0.0000 0.5000
Br 0.5018 0.8490 0.6528
Br 0.8038 0.1510 0.6528
Cu 0.0000 0.5000 0.5000
Cu 0.5000 0.5000 0.0000
Br 0.6528 0.5018 0.8490
Br 0.8490 0.3472 0.1962
Tl 0.5000 0.0000 0.0000
Tl 0.0000 0.5000 0.0000
Br 0.3472 0.1962 0.8490
Br 0.4982 0.1510 0.3472
Br 0.1510 0.6528 0.8038
Br 0.8490 0.6528 0.5018
Br 0.1510 0.3472 0.4982
Cu 0.5000 0.0000 0.5000
Tl 0.5000 0.5000 0.5000
Br 0.1962 0.8490 0.3472
Br 0.6528 0.8038 0.1510
```

Computed properties:
* space group: Im-3 (204)
* uncorrected formation energy: -0.452 eV/atom



This record from Alexandria describes Tl2CuBr after structural relaxation. The functional is PBE-GGA. Values from VASP.

```
&SYSTEM
  ibrav = 0, nat = 4, ntyp = 3
/
ATOMIC_SPECIES
Tl 204.38 Tl.upf
Cu 63.55 Cu.upf
Br 79.90 Br.upf
CELL_PARAMETERS angstrom
-4.8169 -1.6094 -1.5453
1.7669 -3.1958 -2.1795
1.4466 -6.4031 2.1594
ATOMIC_POSITIONS crystal
Tl 0.0000 0.7505 0.8750
Tl 0.5000 0.2495 0.3751
Cu 0.5000 0.7498 0.8751
Br 0.0000 0.7503 0.3748
```

Computed properties:
* space group: P2/m (10)
* energy above the most stable polymorph in this dataset: 1 meV/atom
* uncorrected formation energy: -0.095 eV/atom